[1]
A geometry-optimized NdZn6Ni2 structure. Source: Alexandria, functional PBE.

Cell and atoms, written as POSCAR:
```
NdZn6Ni2
1.0
-0.167 -7.394 -3.086
5.725 -2.347 -5.093
5.431 -5.426 2.300
Zn Ni Nd
12 4 2
Cartesian
2.430 -7.481 -3.019
5.460 -6.416 -0.103
5.344 -3.879 -1.402
5.619 -4.749 -4.105
2.776 -4.781 -3.873
2.853 -1.390 -2.458
5.369 -10.418 -1.774
8.559 -7.686 -2.860
5.529 -8.752 -5.776
2.641 -6.194 -0.482
0.150 -3.705 -1.537
2.718 -2.802 0.934
1.290 -5.593 -2.278
1.374 -1.896 -0.735
4.236 -3.069 -3.281
4.089 -4.609 0.415
5.494 -7.584 -2.939
8.242 -11.375 -4.409
```

**Formation enthalpy at 0 K**: 0.205 eV/atom
**Space group**: Fd-3m, No. 227

=====

[2]
A geometry-optimized HfZnTc structure. Source: Alexandria, functional PBE.

Cell and atoms, written as POSCAR:
```
HfZnTc
1.0
6.486 3.124 -2.210
3.093 6.501 -2.210
-6.027 -6.056 5.922
Hf Zn Tc
2 2 2
Cartesian
0.877 0.881 1.663
2.675 2.688 -0.160
5.681 5.709 -2.038
-2.130 -2.140 3.541
4.540 4.562 0.300
-0.988 -0.993 1.202
```

**Formation enthalpy at 0 K**: -0.094 eV/atom
**Energy relative to the lowest polymorph listed for this composition**: 138.2 meV/atom
**Space group**: C2/m, No. 12

=====

[3]
A geometry-optimized PIrBr2 structure. Source: Alexandria, functional PBE.

Cell and atoms, written as POSCAR:
```
PIrBr2
1.0
-0.777 -1.382 3.074
0.749 -3.146 -1.225
7.565 0.899 2.316
Br Ir P
2 1 1
Cartesian
2.362 -1.981 1.652
7.149 0.849 2.189
4.853 0.576 1.486
4.520 -1.725 2.313
```

**Energy relative to the lowest polymorph listed for this composition**: 517.4 meV/atom
**Space group**: P4mm, No. 99
**Formation energy without anion corrections**: 82.4 meV/atom

=====

[4]
A geometry-optimized Cr5Pb structure. Source: Alexandria, functional PBE.

Cell and atoms, written as POSCAR:
```
Cr5Pb
1.0
1.498 4.676 0.000
-1.498 4.676 0.000
0.000 1.948 5.799
Cr Pb
5 1
Cartesian
0.000 7.593 3.718
0.000 0.974 2.900
0.000 6.690 1.093
0.000 3.708 2.081
0.000 4.611 4.706
0.000 0.000 0.000
```

**Formation enthalpy at 0 K**: 0.449 eV/atom
**Energy relative to the lowest polymorph listed for this composition**: 97.8 meV/atom
**Space group**: C2/m, No. 12

=====

[5]
A geometry-optimized Sm6HoTm4 structure. Source: Alexandria, functional PBE.

Cell and atoms, written as POSCAR:
```
Sm6HoTm4
1.0
-0.832 -5.537 -3.499
2.070 -3.568 5.155
-8.640 3.975 1.993
Tm Sm Ho
4 6 1
Cartesian
-1.827 -1.782 1.018
-6.902 -1.061 -0.673
-5.042 0.201 4.874
-1.033 -7.618 2.080
-0.416 -2.769 -1.749
-1.653 -4.385 3.451
-2.747 -5.127 0.189
1.035 -1.784 2.578
-4.968 -2.091 2.142
-5.435 1.341 1.518
0.619 -4.553 0.828
```

**Formation enthalpy at 0 K**: 0.309 eV/atom
**Space group**: I-42m, No. 121

=====

[6]
A geometry-optimized BaMg2Si2 structure. Source: Alexandria, functional PBE.

Cell and atoms, written as POSCAR:
```
BaMg2Si2
1.0
-0.473 0.559 -4.417
3.012 -3.571 -0.775
-9.280 -6.838 0.128
Si Mg Ba
4 4 2
Cartesian
-3.704 -6.971 -1.620
-3.037 -2.879 -3.443
-8.252 -7.892 -1.250
1.512 -1.957 -3.813
-1.003 -1.023 -3.426
-2.732 -5.679 -3.830
-4.008 -4.170 -1.233
-5.737 -8.826 -1.637
-0.362 -4.124 -1.618
-6.379 -5.725 -3.445
```

**Space group**: P2_1/m, No. 11
**Formation energy without anion corrections**: -297.0 meV/atom

=====

[7]
A geometry-optimized ScZnOs4 structure. Source: Alexandria, functional PBE.

Cell and atoms, written as POSCAR:
```
ScZnOs4
1.0
-4.118 3.153 0.051
-0.724 3.382 -3.865
-3.861 -0.721 -3.388
Os Zn Sc
4 1 1
Cartesian
-3.624 3.873 -4.635
-5.195 1.818 -4.396
-3.262 2.179 -2.699
-5.324 3.758 -2.674
0.000 0.000 0.000
-6.527 4.360 -5.402
```

**Formation enthalpy at 0 K**: 0.149 eV/atom
**Space group**: F-43m, No. 216

=====

[8]
A geometry-optimized YAs3Pb structure. Source: Alexandria, functional PBE.

Cell and atoms, written as POSCAR:
```
YAs3Pb
1.0
-1.204 2.586 4.460
-5.130 -0.147 -1.299
-0.511 -4.617 2.539
As Pb Y
3 1 1
Cartesian
-0.602 1.293 2.230
-2.565 -0.074 -0.650
-0.255 -2.308 1.270
0.000 0.000 0.000
-3.422 -1.089 2.850
```

**Formation enthalpy at 0 K**: 0.541 eV/atom
**Energy relative to the lowest polymorph listed for this composition**: 327.1 meV/atom
**Space group**: Pm-3m, No. 221

=====

[9]
A geometry-optimized TeAsW3 structure. Source: Alexandria, functional PBE.

Cell and atoms, written as POSCAR:
```
TeAsW3
1.0
4.902 0.000 0.000
0.000 4.902 0.000
0.000 0.000 4.902
W As Te
3 1 1
Cartesian
0.000 0.000 2.451
0.000 2.451 0.000
2.451 0.000 0.000
2.451 2.451 2.451
0.000 0.000 0.000
```

**Energy relative to the lowest polymorph listed for this composition**: 937.4 meV/atom
**Space group**: Pm-3m, No. 221
**Formation energy without anion corrections**: 2582.3 meV/atom

=====

[10]
A geometry-optimized LiCa2Ru structure. Source: Alexandria, functional PBE.

Cell and atoms, written as POSCAR:
```
LiCa2Ru
1.0
5.591 0.005 0.000
2.156 5.158 0.000
-3.873 -2.581 3.097
Ca Ru Li
2 1 1
Cartesian
1.078 2.579 1.548
0.000 0.000 0.000
2.795 0.002 1.548
3.873 2.581 0.000
```

**Formation enthalpy at 0 K**: 0.315 eV/atom
**Space group**: I-4m2, No. 119

=====

[11]
A geometry-optimized LiTh2Bi3 structure. Source: Alexandria, functional PBE.

Cell and atoms, written as POSCAR:
```
LiTh2Bi3
1.0
4.591 0.000 0.000
0.000 6.435 0.000
-2.295 -3.218 6.881
Bi Li Th
3 1 2
Cartesian
0.000 0.000 4.591
0.000 0.000 0.000
2.295 3.218 2.290
0.000 3.218 0.000
0.000 3.218 4.601
2.295 0.000 2.281
```

**Formation enthalpy at 0 K**: -0.481 eV/atom
**Space group**: Immm, No. 71

=====

[12]
A geometry-optimized Th8InSn2 structure. Source: Alexandria, functional PBE.

Cell and atoms, written as POSCAR:
```
Th8InSn2
1.0
-3.637 -3.950 2.469
5.022 -5.063 -4.700
3.392 3.696 6.912
Th In Sn
8 1 2
Cartesian
2.832 -5.043 -0.820
3.935 -2.011 2.069
3.766 -5.564 2.671
0.841 -3.306 2.612
1.945 -0.274 5.502
1.374 -1.705 -0.576
1.011 0.247 2.011
3.403 -3.612 5.257
-1.819 -1.975 1.234
4.522 -2.374 -1.135
3.892 1.007 3.347
```

**Formation enthalpy at 0 K**: -0.070 eV/atom
**Space group**: C2/m, No. 12